A plane-wave DFT calculation with PBE+U was carried out for a geometry-optimized LiAlMo2F structure.

Values from the calculation:
Polymorph energy (0 for the lowest one) in meV/atom: 444
M_tot in μB/cell: 8.38
Fermi-level density of states in states/eV/atom: 0.386
E_tot in eV/atom: -3.511

Lattice parameters (Å, degrees): 5.1626 5.1626 5.0575 90.00 90.00 90.00
Positions (direct):
Li  0.0000  0.0000  0.0000
Al  0.0000  0.0000  0.5000
Mo  0.0000  0.5000  0.5000
Mo  0.5000  0.0000  0.5000
F  0.5000  0.5000  0.0000